No. 1
A plane-wave DFT calculation with PBE-GGA was carried out for a relaxed InPdOF2 crystal.

a = 4.4328 Å, b = 4.4328 Å, c = 3.9225 Å
α = 90.00°, β = 90.00°, γ = 90.00°
With the nearest neighbours (Å) after each atom.
Positions (direct):
F 0.0000 0.5000 0.0000  2 Pd 2.22
F 0.5000 0.0000 0.0000  2 Pd 2.22
O 0.0000 0.0000 0.5000  2 Pd 1.96
Pd 0.0000 0.0000 0.0000  2 O 1.96
In 0.5000 0.5000 0.5000  8 F 2.96, 4 O 3.13

Values from the calculation:
Energy relative to the lowest polymorph listed for this composition = 138 meV/atom
Volume = 15.42 Å³/atom
Electronic total energy = -4.287 eV/atom
M_tot = 0.137 μB/atom
DOS at the Fermi energy = 2.916 states/eV/cell


No. 2
A plane-wave DFT calculation with PBE-GGA was carried out for a relaxed CaDy2Tl3Te6 crystal.

a = 7.7722 Å, b = 7.7722 Å, c = 8.4047 Å
α = 98.85°, β = 98.85°, γ = 119.96°
With the nearest neighbours (Å) after each atom.
Positions (direct):
Ca 0.0000 0.0000 0.0000  6 Te 3.17-3.18
Dy 0.3328 0.6672 0.0000  6 Te 3.09-3.10
Dy 0.6672 0.3328 0.0000  6 Te 3.09-3.10
Tl 0.1651 0.8349 0.5000  6 Te 3.39-3.46
Tl 0.8349 0.1651 0.5000  6 Te 3.39-3.46
Tl 0.5000 0.5000 0.5000  6 Te 3.39-3.46
Te 0.9270 0.5847 0.7815  2 Dy 3.09-3.10, 1 Ca 3.18, 3 Tl 3.39-3.46
Te 0.7294 0.7294 0.2156  2 Dy 3.09, 1 Ca 3.17, 1 Tl 3.39
Te 0.0730 0.4153 0.2185  2 Dy 3.09-3.10, 1 Ca 3.18, 3 Tl 3.39-3.46
Te 0.5847 0.9270 0.7815  2 Dy 3.09-3.10, 1 Ca 3.18, 3 Tl 3.39-3.46
Te 0.2706 0.2706 0.7844  2 Dy 3.09, 1 Ca 3.17, 1 Tl 3.39
Te 0.4153 0.0730 0.2185  2 Dy 3.09-3.10, 1 Ca 3.18, 3 Tl 3.39-3.46

Values from the calculation:
Volume = 34.88 Å³/atom
Electronic total energy = -4.087 eV/atom
M_tot = 0.000 μB/atom
DOS at the Fermi energy = 5.948 states/eV/cell


No. 3
A plane-wave DFT calculation with PBE-GGA was carried out for a relaxed KAcAs crystal.

a = 4.6305 Å, b = 4.6305 Å, c = 7.9412 Å
α = 90.00°, β = 90.00°, γ = 120.00°
With the nearest neighbours (Å) after each atom.
Positions (direct):
K 0.0000 0.0000 0.0927  3 As 3.45
Ac 0.6667 0.3333 0.5402  3 As 3.01
As 0.3333 0.6667 0.3671  3 Ac 3.01

Values from the calculation:
Energy relative to the lowest polymorph listed for this composition = 0 meV/atom
Volume = 49.15 Å³/atom
Electronic total energy = -3.896 eV/atom
M_tot = 0.000 μB/atom
DOS at the Fermi energy = 1.553 states/eV/cell


No. 4
A plane-wave DFT calculation with PBE-GGA was carried out for a relaxed K2InNi crystal.

a = 4.4701 Å, b = 4.4701 Å, c = 9.5734 Å
α = 76.99°, β = 76.99°, γ = 59.84°
With the nearest neighbours (Å) after each atom.
Positions (direct):
In 0.2081 0.2081 0.3750  3 Ni 2.58
K 0.9611 0.9611 0.1080  3 Ni 3.56-3.58, 3 In 3.57
K 0.7899 0.7899 0.6421  3 Ni 3.57-3.58, 3 In 3.57
Ni 0.5410 0.5410 0.3749  3 In 2.58

Values from the calculation:
Volume = 39.93 Å³/atom
Electronic total energy = -2.556 eV/atom
M_tot = 0.000 μB/atom
DOS at the Fermi energy = 2.343 states/eV/cell


No. 5
A plane-wave DFT calculation with PBE-GGA was carried out for a relaxed KZnAgAs crystal.

a = 4.0229 Å, b = 4.0229 Å, c = 12.8019 Å
α = 90.00°, β = 90.00°, γ = 90.00°
With the nearest neighbours (Å) after each atom.
Positions (direct):
K 0.7500 0.7500 0.2617  4 As 3.35, 4 Ag 3.65
K 0.2500 0.2500 0.7383  4 As 3.35, 4 Ag 3.65
Zn 0.7500 0.2500 0.0000  4 As 2.56, 4 Zn 2.84
Zn 0.2500 0.7500 0.0000  4 As 2.56, 4 Zn 2.84
Ag 0.2500 0.7500 0.5000  4 Ag 2.84
Ag 0.7500 0.2500 0.5000  4 Ag 2.84
As 0.7500 0.7500 0.8760  4 Zn 2.56
As 0.2500 0.2500 0.1240  4 Zn 2.56

Values from the calculation:
Volume = 25.90 Å³/atom
Electronic total energy = -2.690 eV/atom
M_tot = 0.000 μB/atom
DOS at the Fermi energy = 0.636 states/eV/cell


No. 6
A plane-wave DFT calculation with PBE-GGA was carried out for a relaxed NdSm2Th3S6 crystal.

a = 6.9288 Å, b = 6.9288 Å, c = 7.0515 Å
α = 99.37°, β = 99.37°, γ = 119.55°
With the nearest neighbours (Å) after each atom.
Positions (direct):
Nd 0.0000 0.0000 0.0000  6 S 2.85-2.86
Sm 0.3332 0.6668 0.0000  6 S 2.82-2.83
Sm 0.6668 0.3332 0.0000  6 S 2.82-2.83
Th 0.1650 0.8350 0.5000  6 S 2.86-2.87
Th 0.8350 0.1650 0.5000  6 S 2.86-2.87
Th 0.5000 0.5000 0.5000  6 S 2.85-2.87
S 0.9177 0.5812 0.7530  2 Sm 2.83, 1 Nd 2.86, 3 Th 2.86-2.87
S 0.7449 0.7449 0.2447  2 Sm 2.82, 1 Nd 2.85, 3 Th 2.85-2.87
S 0.0823 0.4188 0.2470  2 Sm 2.83, 1 Nd 2.86, 3 Th 2.86-2.87
S 0.5812 0.9177 0.7530  2 Sm 2.83, 1 Nd 2.86, 3 Th 2.86-2.87
S 0.2551 0.2551 0.7553  2 Sm 2.82, 1 Nd 2.85, 3 Th 2.85-2.87
S 0.4188 0.0823 0.2470  2 Sm 2.83, 1 Nd 2.86, 3 Th 2.86-2.87

Values from the calculation:
Volume = 23.22 Å³/atom
Electronic total energy = -7.020 eV/atom
M_tot = 0.000 μB/atom
DOS at the Fermi energy = 7.380 states/eV/cell


No. 7
A plane-wave DFT calculation with PBE-GGA was carried out for a relaxed KAgPtBr6 crystal.

a = 7.1602 Å, b = 7.1607 Å, c = 7.0353 Å
α = 90.04°, β = 89.97°, γ = 59.93°
With the nearest neighbours (Å) after each atom.
Positions (direct):
K 0.0001 0.0001 0.0000  6 Br 3.36-3.37
Ag 0.6665 0.6666 0.5000  6 Br 2.88-2.89
Pt 0.3333 0.3334 0.5000  6 Br 2.51
Br 0.0395 0.3500 0.2939  1 Pt 2.51
Br 0.3500 0.0396 0.7060  1 Pt 2.51
Br 0.6106 0.3497 0.7060  1 Pt 2.51
Br 0.0392 0.6109 0.7065  1 Pt 2.51
Br 0.3497 0.6106 0.2939  1 Pt 2.51
Br 0.6108 0.0392 0.2935  1 Pt 2.51

Values from the calculation:
Volume = 34.69 Å³/atom
Electronic total energy = -2.823 eV/atom
M_tot = 0.000 μB/atom


No. 8
A plane-wave DFT calculation with PBE-GGA was carried out for a relaxed Ba2Cu2F7 crystal.

a = 6.7902 Å, b = 6.1234 Å, c = 5.2167 Å
α = 97.24°, β = 83.35°, γ = 113.05°
With the nearest neighbours (Å) after each atom.
Positions (direct):
Ba 0.7667 0.6160 0.7483  7 F 2.56-2.81
Ba 0.2333 0.3840 0.2517  7 F 2.56-2.81
Cu 0.6433 0.0072 0.2318  4 F 1.96-2.11
Cu 0.3567 0.9928 0.7682  4 F 1.96-2.11
F 0.8335 0.2545 0.4690  1 Cu 1.96
F 0.4391 0.7741 0.9539  2 Cu 2.02-2.11
F 0.1665 0.7455 0.5310  1 Cu 1.96
F 0.5609 0.2259 0.0461  2 Cu 2.02-2.11
F 0.0000 0.0000 0.0000  2 Ba 2.56, 2 Cu 2.59
F 0.6409 0.7066 0.3366  1 Cu 1.98
F 0.3591 0.2934 0.6634  1 Cu 1.98

Values from the calculation:
Volume = 17.95 Å³/atom
Electronic total energy = -4.964 eV/atom
M_tot = 0.091 μB/atom
DOS at the Fermi energy = 2.546 states/eV/cell